DFT (GGA-PBE) results for a relaxed structure of Ag2Au2Br.

Computed properties:
For the uncorrected formation energy, the calculation gives 0.21 eV per atom. As for the symmetry: I4/mmm (139).

Cell: 4.024 4.024 7.318 Å, 74.04 74.04 90.00°
Fractional coordinates of all 5 atoms:
Ag (0.750, 0.250, 0.500)
Br (0.000, 0.000, 0.000)
Au (0.603, 0.603, 0.793)
Ag (0.250, 0.750, 0.500)
Au (0.397, 0.397, 0.207)